SiW2: optimized geometry, PBE-GGA.

Unit cell a=4.4711 b=4.4711 c=5.1899 alpha=90.00 beta=90.00 gamma=120.00
Positions (direct):
Si: 0.3333 0.6667 0.2500
Si: 0.6667 0.3333 0.7500
W: 0.0000 0.0000 0.0000
W: 0.0000 0.0000 0.5000
W: 0.3333 0.6667 0.7500
W: 0.6667 0.3333 0.2500

Energy relative to the lowest polymorph listed for this composition, meV/atom: 373
Uncorrected energy, eV/atom: -10.220
Crystal system: hexagonal
Magnetic moment, μB per cell: 0.000


Cs2MgP4H8O16: optimized geometry, PBE-GGA.

Unit cell a=7.1796 b=7.5783 c=8.0347 alpha=84.09 beta=70.46 gamma=89.54
Positions (direct):
Cs: 0.0935 0.7024 0.2787
Cs: 0.9065 0.2976 0.7213
Mg: 0.5000 0.5000 0.5000
P: 0.3629 0.2474 0.2434
P: 0.7621 0.1995 0.2558
P: 0.2379 0.8005 0.7442
P: 0.6371 0.7526 0.7566
H: 0.0879 0.2517 0.1001
H: 0.6234 0.6954 0.1516
H: 0.6341 0.8218 0.2954
H: 0.2716 0.0278 0.4637
H: 0.7284 0.9722 0.5363
H: 0.3659 0.1782 0.7046
H: 0.3766 0.3046 0.8484
H: 0.9121 0.7483 0.8999
O: 0.9524 0.2230 0.0861
O: 0.2911 0.2996 0.0884
O: 0.5994 0.2210 0.1537
O: 0.5894 0.7026 0.2805
O: 0.2696 0.0595 0.3346
O: 0.7393 0.0107 0.3480
O: 0.7424 0.3454 0.3750
O: 0.3295 0.3783 0.3801
O: 0.6705 0.6217 0.6199
O: 0.2576 0.6546 0.6250
O: 0.2607 0.9893 0.6520
O: 0.7304 0.9405 0.6654
O: 0.4106 0.2974 0.7195
O: 0.4006 0.7790 0.8463
O: 0.7089 0.7004 0.9116
O: 0.0476 0.7770 0.9139

Uncorrected energy, eV/atom: -6.102
Crystal system: triclinic
Magnetic moment, μB per cell: 0.000


Mg3Cd4Hg4: optimized geometry, PBE-GGA.

Unit cell a=3.3334 b=3.3327 c=22.0260 alpha=91.56 beta=91.56 gamma=89.49
Positions (direct):
Mg: 0.6035 0.6018 0.2706
Mg: 0.3966 0.3983 0.7294
Mg: 0.9997 0.9998 0.0000
Cd: 0.0675 0.0653 0.1811
Cd: 0.2869 0.2870 0.5471
Cd: 0.7135 0.7132 0.4528
Cd: 0.9324 0.9347 0.8189
Hg: 0.5300 0.5291 0.0849
Hg: 0.4696 0.4706 0.9152
Hg: 0.8607 0.8618 0.6448
Hg: 0.1395 0.1385 0.3551

Energy relative to the lowest polymorph listed for this composition, meV/atom: 0
Uncorrected energy, eV/atom: -0.970
ΔE_f, eV/atom: -0.092
Crystal system: triclinic
Magnetic moment, μB per cell: 0.000